Version i
{"formula": "LiPb2Au2", "functional": "PBE", "state": "relaxed", "lattice_angstrom": [[-3.671, 4.409, -4.589], [-4.907, 1.412, 5.281], [2.423, 3.411, 1.339]], "species": ["Pb", "Pb", "Pb", "Pb", "Au", "Au", "Au", "Au", "Li", "Li"], "frac_coords": [[0.171, 0.671, 0.500], [0.671, 0.829, 0.500], [0.829, 0.329, 0.500], [0.329, 0.171, 0.500], [0.360, 0.860, 0.000], [0.860, 0.640, 0.000], [0.640, 0.140, 0.000], [0.140, 0.360, 0.000], [0.000, 0.000, 0.000], [0.500, 0.500, 0.000]], "spacegroup": "P4/mbm", "magmom_total_mub_per_cell": 0.0, "dos_at_fermi_per_ev_fu": 2.00}

Version ii
{"formula": "LiPb2Au2", "functional": "PBE", "state": "relaxed", "lattice_angstrom": [[-2.966, -3.325, 0.856], [2.427, -5.182, 0.302], [0.463, -0.989, 9.780]], "species": ["Li", "Li", "Pb", "Pb", "Pb", "Pb", "Au", "Au", "Au", "Au"], "frac_coords": [[0.783, 0.066, 0.368], [0.217, 0.934, 0.632], [0.317, 0.264, 0.102], [0.513, 0.302, 0.672], [0.683, 0.736, 0.898], [0.487, 0.698, 0.328], [0.980, 0.165, 0.876], [0.146, 0.294, 0.414], [0.020, 0.835, 0.124], [0.854, 0.706, 0.586]], "spacegroup": "C2/m", "magmom_total_mub_per_cell": 0.0, "dos_at_fermi_per_ev_fu": 1.66}

Most stable of them? version ii.

Version i
{"formula": "LiPb2Au2", "functional": "PBE", "state": "relaxed", "lattice_angstrom": [[-7.427, -3.339, 0.815], [2.238, -3.226, 7.181], [-1.171, 3.026, 1.725]], "species": ["Pb", "Pb", "Pb", "Pb", "Au", "Au", "Au", "Au", "Li", "Li"], "frac_coords": [[0.348, 0.848, 0.000], [0.848, 0.652, 0.000], [0.652, 0.152, 0.000], [0.152, 0.348, 0.000], [0.148, 0.648, 0.500], [0.648, 0.852, 0.500], [0.852, 0.352, 0.500], [0.352, 0.148, 0.500], [0.000, 0.000, 0.000], [0.500, 0.500, 0.000]], "spacegroup": "P4/mbm", "magmom_total_mub_per_cell": 0.0, "dos_at_fermi_per_ev_fu": 1.85}

Version ii
{"formula": "LiPb2Au2", "functional": "PBE", "state": "relaxed", "lattice_angstrom": [[5.608, 0.000, 0.000], [0.000, 5.608, 0.000], [2.804, 2.804, 4.494]], "species": ["Pb", "Pb", "Au", "Au", "Li"], "frac_coords": [[0.329, 0.329, 0.342], [0.671, 0.671, 0.658], [0.750, 0.250, 0.500], [0.250, 0.750, 0.500], [0.000, 0.000, 0.000]], "spacegroup": "I4/mmm", "magmom_total_mub_per_cell": 0.0, "dos_at_fermi_per_ev_fu": 2.08}

Version iii
{"formula": "LiPb2Au2", "functional": "PBE", "state": "relaxed", "lattice_angstrom": [[5.098, 0.000, 0.000], [0.000, 5.098, 0.000], [2.549, 2.549, 5.447]], "species": ["Pb", "Pb", "Au", "Au", "Li"], "frac_coords": [[0.750, 0.250, 0.500], [0.250, 0.750, 0.500], [0.377, 0.377, 0.246], [0.623, 0.623, 0.754], [0.000, 0.000, 0.000]], "spacegroup": "I4/mmm", "magmom_total_mub_per_cell": 0.0, "dos_at_fermi_per_ev_fu": 2.67}

Most stable of them? version i.

Version i
{"formula": "LiPb2Au", "functional": "PBE", "state": "relaxed", "lattice_angstrom": [[3.668, 0.000, 0.000], [0.000, 3.694, 0.728], [0.000, 2.247, 7.505]], "species": ["Au", "Li", "Pb", "Pb"], "frac_coords": [[0.500, 0.250, 0.250], [0.500, 0.750, 0.750], [0.000, 0.990, 0.008], [0.000, 0.510, 0.492]], "spacegroup": "P2/m", "magmom_total_mub_per_cell": 0.0, "dos_at_fermi_per_ev_fu": 1.93}

Version ii
{"formula": "LiPb2Au", "functional": "PBE", "state": "relaxed", "lattice_angstrom": [[-2.282, -1.205, 4.072], [-3.670, -3.123, -0.127], [1.430, -5.484, 2.032]], "species": ["Li", "Pb", "Pb", "Au"], "frac_coords": [[0.494, 0.494, 0.519], [0.066, 0.066, 0.802], [0.270, 0.270, 0.189], [0.670, 0.670, 0.990]], "spacegroup": "R3m", "magmom_total_mub_per_cell": 0.0, "dos_at_fermi_per_ev_fu": 1.27}

Most stable of them? version ii.

Version i
{"formula": "Li6Pb2Au", "functional": "PBE", "state": "relaxed", "lattice_angstrom": [[-1.356, -0.948, -2.626], [2.581, -7.346, 1.321], [-8.358, 1.335, 0.143]], "species": ["Li", "Li", "Li", "Li", "Li", "Li", "Pb", "Pb", "Au"], "frac_coords": [[0.173, 0.323, 0.324], [0.827, 0.000, 0.676], [0.827, 0.677, 0.676], [0.500, 0.324, 0.000], [0.173, 0.000, 0.324], [0.500, 0.676, 0.000], [0.668, 0.666, 0.333], [0.332, 0.334, 0.667], [0.000, 0.000, 0.000]], "spacegroup": "C2/m", "magmom_total_mub_per_cell": 0.0, "dos_at_fermi_per_ev_fu": 2.80}

Version ii
{"formula": "Li6Pb2Au", "functional": "PBE", "state": "relaxed", "lattice_angstrom": [[-2.419, 2.816, 2.844], [-7.068, -3.746, -2.303], [0.921, -5.675, 6.404]], "species": ["Li", "Li", "Li", "Li", "Li", "Li", "Li", "Li", "Li", "Li", "Li", "Li", "Pb", "Pb", "Pb", "Pb", "Au", "Au"], "frac_coords": [[0.000, 0.002, 0.185], [0.000, 0.678, 0.572], [0.000, 0.654, 0.904], [0.500, 0.154, 0.596], [0.500, 0.178, 0.928], [0.500, 0.502, 0.315], [0.000, 0.998, 0.815], [0.000, 0.322, 0.428], [0.000, 0.346, 0.096], [0.500, 0.846, 0.404], [0.500, 0.822, 0.072], [0.500, 0.498, 0.685], [0.000, 0.332, 0.764], [0.500, 0.832, 0.736], [0.500, 0.168, 0.264], [0.000, 0.668, 0.236], [0.500, 0.500, 0.000], [0.000, 0.000, 0.500]], "spacegroup": "Pnnm", "magmom_total_mub_per_cell": 0.0, "dos_at_fermi_per_ev_fu": 3.39}

Most stable of them? version ii.

Version i
{"formula": "LiPb3Au", "functional": "PBE", "state": "relaxed", "lattice_angstrom": [[7.087, 0.439, -0.593], [-1.517, 6.936, 0.593], [-3.486, -3.158, 5.582]], "species": ["Li", "Li", "Pb", "Pb", "Pb", "Pb", "Pb", "Pb", "Au", "Au"], "frac_coords": [[0.704, 0.060, 0.764], [0.296, 0.940, 0.236], [0.815, 0.986, 0.212], [0.226, 0.396, 0.212], [0.774, 0.604, 0.788], [0.757, 0.434, 0.190], [0.185, 0.014, 0.788], [0.243, 0.566, 0.810], [0.630, 0.768, 0.398], [0.370, 0.232, 0.602]], "spacegroup": "C2/m", "magmom_total_mub_per_cell": 0.0, "dos_at_fermi_per_ev_fu": 1.75}

Version ii
{"formula": "LiPb3Au", "functional": "PBE", "state": "relaxed", "lattice_angstrom": [[-0.680, 4.562, -2.196], [-3.351, -2.066, -3.255], [-3.795, 1.007, 3.267]], "species": ["Pb", "Pb", "Pb", "Au", "Li"], "frac_coords": [[0.000, 0.500, 0.000], [0.000, 0.000, 0.500], [0.500, 0.000, 0.000], [0.500, 0.500, 0.500], [0.000, 0.000, 0.000]], "spacegroup": "Pm-3m", "magmom_total_mub_per_cell": 0.0, "dos_at_fermi_per_ev_fu": 2.15}

Most stable of them? version i.

Version i
{"formula": "LiPuPbAu", "functional": "PBE", "state": "relaxed", "lattice_angstrom": [[5.096, 0.000, 0.000], [2.548, 4.413, 0.000], [2.548, 1.471, 4.161]], "species": ["Pb", "Li", "Au", "Pu"], "frac_coords": [[0.500, 0.500, 0.500], [0.250, 0.250, 0.250], [0.000, 0.000, 0.000], [0.750, 0.750, 0.750]], "spacegroup": "F-43m", "magmom_total_mub_per_cell": 5.5, "dos_at_fermi_per_ev_fu": 12.89}

Version ii
{"formula": "LiPuPbAu", "functional": "PBE", "state": "relaxed", "lattice_angstrom": [[3.369, 0.000, 0.000], [0.000, 3.369, 0.000], [0.000, 0.000, 7.768]], "species": ["Li", "Pu", "Pb", "Au"], "frac_coords": [[0.000, 0.000, 0.541], [0.000, 0.000, 0.098], [0.500, 0.500, 0.782], [0.500, 0.500, 0.364]], "spacegroup": "P4mm", "magmom_total_mub_per_cell": 5.7, "dos_at_fermi_per_ev_fu": 8.58}

Most stable of them? version ii.

Version i
{"formula": "LiPdAu", "functional": "PBE", "state": "relaxed", "lattice_angstrom": [[-1.132, -3.059, 4.272], [4.053, 1.633, 2.243], [-2.794, 7.870, -0.681]], "species": ["Li", "Li", "Li", "Li", "Pd", "Pd", "Pd", "Pd", "Au", "Au", "Au", "Au"], "frac_coords": [[0.498, 0.288, 0.334], [0.502, 0.288, 0.666], [0.498, 0.788, 0.834], [0.502, 0.788, 0.166], [0.002, 0.613, 0.168], [0.998, 0.613, 0.832], [0.002, 0.113, 0.668], [0.998, 0.113, 0.332], [0.000, 0.110, 0.000], [0.000, 0.610, 0.500], [0.500, 0.795, 0.500], [0.500, 0.295, 0.000]], "spacegroup": "C2", "magmom_total_mub_per_cell": 0.0, "dos_at_fermi_per_ev_fu": 0.80}

Version ii
{"formula": "LiPdAu", "functional": "PBE", "state": "relaxed", "lattice_angstrom": [[7.130, 0.000, 0.017], [0.000, 4.857, 0.000], [-6.433, 0.000, 5.414]], "species": ["Li", "Li", "Li", "Li", "Pd", "Pd", "Pd", "Pd", "Au", "Au", "Au", "Au"], "frac_coords": [[0.230, 0.592, 0.265], [0.730, 0.408, 0.765], [0.230, 0.092, 0.765], [0.730, 0.908, 0.265], [0.733, 0.415, 0.098], [0.233, 0.585, 0.598], [0.733, 0.915, 0.598], [0.233, 0.085, 0.098], [0.227, 0.089, 0.429], [0.727, 0.911, 0.929], [0.227, 0.589, 0.929], [0.727, 0.411, 0.429]], "spacegroup": "Cc", "magmom_total_mub_per_cell": 0.0, "dos_at_fermi_per_ev_fu": 0.97}

Version iii
{"formula": "LiPdAu", "functional": "PBE", "state": "relaxed", "lattice_angstrom": [[2.783, 0.000, 0.000], [0.000, 4.007, 0.000], [0.000, 0.000, 8.441]], "species": ["Li", "Li", "Pd", "Pd", "Au", "Au"], "frac_coords": [[0.000, 0.000, 0.191], [0.500, 0.500, 0.691], [0.000, 0.000, 0.854], [0.500, 0.500, 0.354], [0.000, 0.000, 0.524], [0.500, 0.500, 0.024]], "spacegroup": "Imm2", "magmom_total_mub_per_cell": 0.0, "dos_at_fermi_per_ev_fu": 0.67}

Version iv
{"formula": "LiPdAu", "functional": "PBE", "state": "relaxed", "lattice_angstrom": [[-0.831, 2.827, -4.454], [-4.451, 1.252, 1.626], [3.492, 3.454, 6.903]], "species": ["Li", "Li", "Li", "Li", "Pd", "Pd", "Pd", "Pd", "Au", "Au", "Au", "Au"], "frac_coords": [[0.001, 0.309, 0.169], [0.999, 0.309, 0.831], [0.001, 0.809, 0.669], [0.999, 0.809, 0.331], [0.000, 0.808, 0.000], [0.000, 0.308, 0.500], [0.500, 0.140, 0.500], [0.500, 0.640, 0.000], [0.498, 0.639, 0.333], [0.502, 0.639, 0.667], [0.498, 0.139, 0.833], [0.502, 0.139, 0.167]], "spacegroup": "C2", "magmom_total_mub_per_cell": 0.0, "dos_at_fermi_per_ev_fu": 1.14}

Most stable of them? version i.

Version i
{"formula": "LiPdAu", "functional": "PBE", "state": "relaxed", "lattice_angstrom": [[4.873, -0.001, 0.000], [1.570, 5.306, -0.002], [-2.430, 2.166, 3.628]], "species": ["Au", "Au", "Pd", "Pd", "Li", "Li"], "frac_coords": [[0.208, 0.230, 0.461], [0.532, 0.730, 0.137], [0.201, 0.730, 0.468], [0.868, 0.730, 0.800], [0.538, 0.230, 0.131], [0.870, 0.230, 0.799]], "spacegroup": "C2", "magmom_total_mub_per_cell": 0.0, "dos_at_fermi_per_ev_fu": 1.00}

Version ii
{"formula": "LiPdAu", "functional": "PBE", "state": "relaxed", "lattice_angstrom": [[-0.372, -2.059, -1.798], [4.314, -0.897, 0.136], [-2.751, -1.970, 2.825]], "species": ["Au", "Pd", "Li"], "frac_coords": [[0.612, 0.667, 0.333], [0.072, 0.000, 0.000], [0.316, 0.333, 0.667]], "spacegroup": "P3m1", "magmom_total_mub_per_cell": 0.0, "dos_at_fermi_per_ev_fu": 0.70}

Version iii
{"formula": "LiPdAu", "functional": "PBE", "state": "relaxed", "lattice_angstrom": [[3.136, 0.000, 0.000], [0.000, 3.136, 0.000], [-1.568, -1.568, 4.615]], "species": ["Au", "Pd", "Li"], "frac_coords": [[0.294, 0.294, 0.588], [0.604, 0.604, 0.207], [0.953, 0.953, 0.905]], "spacegroup": "I4mm", "magmom_total_mub_per_cell": 0.0, "dos_at_fermi_per_ev_fu": 0.91}

Version iv
{"formula": "LiPdAu", "functional": "PBE", "state": "relaxed", "lattice_angstrom": [[5.555, 0.000, 0.055], [0.000, 4.318, 0.000], [-5.158, 0.000, 7.719]], "species": ["Li", "Li", "Li", "Li", "Pd", "Pd", "Pd", "Pd", "Au", "Au", "Au", "Au"], "frac_coords": [[0.000, 0.500, 0.000], [0.000, 0.000, 0.500], [0.500, 0.000, 0.500], [0.500, 0.500, 0.000], [0.197, 0.000, 0.834], [0.803, 0.000, 0.166], [0.197, 0.500, 0.334], [0.803, 0.500, 0.666], [0.300, 0.000, 0.164], [0.700, 0.000, 0.836], [0.300, 0.500, 0.664], [0.700, 0.500, 0.336]], "spacegroup": "C2/m", "magmom_total_mub_per_cell": 0.0, "dos_at_fermi_per_ev_fu": 1.28}

Most stable of them? version i.